(1)
DFT (PBE) results for a relaxed structure of LaFeGe2.

Cell: 4.330 7.064 10.474 Å, 90.00 90.00 90.00°
Each line ends with the local moment (μB).
Fractional positions:
1 La 0.250 0.827 0.875  -0.02
2 Fe 0.250 0.017 0.379  1.47
3 Ge 0.750 0.646 0.683  -0.03
4 La 0.750 0.673 0.375  -0.02
5 Fe 0.750 0.983 0.621  1.47
6 Ge 0.250 0.854 0.183  -0.03
7 Ge 0.750 0.157 0.427  -0.03
8 Ge 0.250 0.354 0.317  -0.03
9 La 0.250 0.327 0.625  -0.02
10 La 0.750 0.173 0.125  -0.02
11 Fe 0.750 0.483 0.879  1.47
12 Fe 0.250 0.517 0.121  1.47
13 Ge 0.250 0.343 0.927  -0.03
14 Ge 0.750 0.657 0.073  -0.03
15 Ge 0.250 0.843 0.573  -0.03
16 Ge 0.750 0.146 0.817  -0.03

Results
- symmetry = Pnma (62)
- magnetization (μB/f.u.) = 1.41
- energy of formation from the pure elements (eV per atom) = -0.541


(2)
DFT (PBE) results for a relaxed structure of CeNdHo5.

Cell: 6.546 6.283 13.077 Å, 94.10 90.00 121.40°
Each line ends with the local moment (μB).
Fractional positions:
1 Ho 0.771 0.000 0.750  0.05
2 Ho 0.319 0.668 0.424  0.05
3 Ho 0.652 0.332 0.076  0.05
4 Ce 0.000 0.000 0.500  0.85
5 Ce 0.000 0.000 0.000  0.85
6 Ho 0.348 0.668 0.924  0.05
7 Ho 0.229 0.000 0.250  0.05
8 Ho 0.263 0.499 0.663  0.06
9 Nd 0.746 0.000 0.250  0.01
10 Ho 0.681 0.332 0.576  0.05
11 Ho 0.765 0.501 0.837  0.06
12 Ho 0.235 0.499 0.163  0.06
13 Ho 0.737 0.501 0.337  0.06
14 Nd 0.254 0.000 0.750  0.01

Results
- symmetry = C2/c (15)
- magnetization (μB/f.u.) = 1.43
- energy of formation from the pure elements (eV per atom) = 0.225


(3)
DFT (PBE) results for a relaxed structure of Pa2GeH2.

Cell: 6.122 6.122 5.770 Å, 104.19 104.19 122.53°
Fractional positions:
1 H 0.101 0.899 0.000
2 Pa 0.799 0.799 0.597
3 H 0.899 0.101 0.000
4 Ge 0.500 0.500 0.000
5 H 0.351 0.649 0.500
6 Pa 0.201 0.201 0.403
7 Pa 0.049 0.549 0.097
8 H 0.149 0.851 0.500
9 Pa 0.451 0.951 0.903
10 Ge 0.750 0.250 0.500

Results
- symmetry = Fddd (70)
- energy (eV/atom) = -6.3878
- magnetization (μB/f.u.) = 0.00


| no. | theoretical density (Mg/m³) |
| --- | --- |
| 1 | 7.1 |
| 2 | 8.1 |
| 3 | 11.4 |